Here is a relaxed Na4Ac3TbSe8 crystal from Alexandria. Energies are from PBE.

Unit cell a=8.6825 b=8.6825 c=8.6825 alpha=61.43 beta=61.43 gamma=61.43
Atoms (fractional coordinates):
Na: 0.0000 0.0000 0.0000
Na: 0.0000 0.5000 0.5000
Na: 0.5000 0.0000 0.5000
Na: 0.5000 0.5000 0.0000
Ac: 0.0000 0.0000 0.5000
Ac: 0.0000 0.5000 0.0000
Ac: 0.5000 0.0000 0.0000
Tb: 0.5000 0.5000 0.5000
Se: 0.2492 0.2492 0.2492
Se: 0.2622 0.2622 0.7378
Se: 0.2622 0.7378 0.2622
Se: 0.2622 0.7378 0.7378
Se: 0.7378 0.2622 0.2622
Se: 0.7378 0.2622 0.7378
Se: 0.7378 0.7378 0.2622
Se: 0.7508 0.7508 0.7508

Summary:
Total magnetization = 0.000 μB/atom
Calculated density = 5.44 g/cm3
Formation energy (no corrections) = -1.71 eV per atom
VASP energy = -0.356 Ry/atom

=====

Here is a relaxed ScTlFeCl2 crystal from Alexandria. Energies are from PBE.

Unit cell a=4.9296 b=4.9296 c=5.4908 alpha=90.00 beta=90.00 gamma=90.00
Atoms (fractional coordinates):
Sc: 0.0000 0.0000 0.0000
Tl: 0.5000 0.5000 0.5000
Fe: 0.0000 0.0000 0.5000
Cl: 0.0000 0.5000 0.0000
Cl: 0.5000 0.0000 0.0000

Summary:
Total magnetization = 0.412 μB/atom
Calculated density = 4.68 g/cm3
Formation energy (no corrections) = -0.36 eV per atom
VASP energy = -0.333 Ry/atom

=====

Here is a relaxed GaP2RhO crystal from Alexandria. Energies are from PBE.

Unit cell a=4.8461 b=4.8461 c=3.6873 alpha=90.00 beta=90.00 gamma=90.00
Atoms (fractional coordinates):
Ga: 0.0000 0.0000 0.0000
P: 0.0000 0.5000 0.5000
P: 0.5000 0.0000 0.5000
Rh: 0.5000 0.5000 0.5000
O: 0.5000 0.5000 0.0000

Summary:
Relative energy among the computed polymorphs = 0 meV/atom
Total magnetization = 0.000 μB/atom
Calculated density = 4.81 g/cm3
Formation energy (no corrections) = 0.24 eV per atom
VASP energy = -0.366 Ry/atom

=====

no.,V (Å³/cell)
1,477.7
2,133.4
3,86.6